An optimized crystal structure of ZrSc2In3Cu2Ni. Source: OQMD via LeMat-Bulk, functional GGA-PBE.

symmetry	No. 38
VASP energy	-5.09	eV per atom
magnetic moment	0.0000	μB per atom

a = 3.608 Å, b = 7.281 Å, c = 7.281 Å
α = 120.22°, β = 90.00°, γ = 90.00°
Positions (direct):
1 Zr 0.000 0.000 0.000
2 Sc 0.000 0.400 0.800
3 Sc 0.000 0.800 0.400
4 In 0.500 0.137 0.401
5 In 0.500 0.401 0.137
6 In 0.500 0.662 0.662
7 Cu 0.500 0.067 0.734
8 Cu 0.500 0.734 0.067
9 Ni 0.000 0.397 0.397